First-principles (PBE-GGA) data for an optimized crystal structure of MnAs2Os, as listed in Alexandria via LeMat-Bulk.

a = 2.9888 Å, b = 2.9888 Å, c = 23.1417 Å
α = 90.00°, β = 90.00°, γ = 120.00°
Space group R-3m (No. 166, hexagonal axes)
Symmetry-distinct sites (fractional):
Mn (0.0000, 0.0000, 0.0000) [3 per cell]
As (0.0000, 0.0000, 0.2500) [6 per cell]
Os (0.0000, 0.0000, 0.5000) [3 per cell]

Computed properties:
For the formation enthalpy at 0 K, the calculation gives 0.26 eV per atom. The calculation puts the energy above the most stable polymorph in this dataset at 0.1718 eV per atom. The calculation puts the density of states at the Fermi level at 3.5 states/eV/f.u. For the calculated volume, the calculation gives 179.0 Å³/cell.